i) {
  "formula": "Tb4ThTl2",
  "functional": "PBE",
  "state": "optimized geometry",
  "cell": [[2.761, 1.594, 8.832], [-2.761, 1.594, 8.832], [0.000, -3.188, 8.832]],
  "species": ["Tb", "Tb", "Tb", "Tb", "Th", "Tl", "Tl"],
  "fractional_positions": [[0.128, 0.128, 0.128], [0.260, 0.260, 0.260], [0.740, 0.740, 0.740], [0.872, 0.872, 0.872], [0.500, 0.500, 0.500], [0.378, 0.378, 0.378], [0.622, 0.622, 0.622]],
  "magmom_total_mub_per_cell": 0.000
}

=====

ii) {
  "formula": "Tb4ThTl2",
  "functional": "PBE",
  "state": "optimized geometry",
  "cell": [[4.353, -5.178, 0.000], [4.353, 5.178, 0.000], [0.000, 0.000, 4.858]],
  "species": ["Tb", "Tb", "Tb", "Tb", "Th", "Tl", "Tl"],
  "fractional_positions": [[0.000, 0.500, 0.500], [0.208, 0.208, 0.000], [0.500, 0.000, 0.500], [0.792, 0.792, 0.000], [0.500, 0.500, 0.500], [0.273, 0.727, 0.000], [0.727, 0.273, 0.000]],
  "magmom_total_mub_per_cell": 0.000
}

=====

Quick one: least stable of them? i)

=====

i) {
  "formula": "Tb2ThTl",
  "functional": "PBE",
  "state": "optimized geometry",
  "cell": [[0.000, 3.880, 3.880], [3.880, 0.000, 3.880], [3.880, 3.880, 0.000]],
  "species": ["Tb", "Tb", "Th", "Tl"],
  "fractional_positions": [[0.250, 0.250, 0.250], [0.750, 0.750, 0.750], [0.000, 0.000, 0.000], [0.500, 0.500, 0.500]],
  "magmom_total_mub_per_cell": 0.007
}

=====

ii) {
  "formula": "Tb2ThTl",
  "functional": "PBE",
  "state": "optimized geometry",
  "cell": [[2.757, 1.592, 4.507], [-2.757, 1.592, 4.507], [0.000, -3.184, 4.507]],
  "species": ["Tb", "Tb", "Th", "Tl"],
  "fractional_positions": [[0.000, 0.000, 0.000], [0.250, 0.250, 0.250], [0.500, 0.500, 0.500], [0.750, 0.750, 0.750]],
  "magmom_total_mub_per_cell": 0.000
}

=====

iii) {
  "formula": "Tb2ThTl",
  "functional": "PBE",
  "state": "optimized geometry",
  "cell": [[3.615, 0.000, 0.000], [0.000, 3.615, 0.000], [0.000, 0.000, 9.055]],
  "species": ["Tb", "Tb", "Th", "Tl"],
  "fractional_positions": [[0.000, 0.000, 0.235], [0.000, 0.000, 0.765], [0.500, 0.500, 0.500], [0.500, 0.500, 0.000]],
  "magmom_total_mub_per_cell": 0.000
}

=====

Quick one: least stable of them? i)

=====

i) {
  "formula": "Tb2ThTl",
  "functional": "PBE",
  "state": "optimized geometry",
  "cell": [[1.796, 1.037, 10.844], [-1.796, 1.037, 10.844], [0.000, -2.074, 10.844]],
  "species": ["Tb", "Tb", "Th", "Tl"],
  "fractional_positions": [[0.247, 0.247, 0.247], [0.753, 0.753, 0.753], [0.000, 0.000, 0.000], [0.500, 0.500, 0.500]],
  "magmom_total_mub_per_cell": 0.000
}

=====

ii) {
  "formula": "Tb2ThTl",
  "functional": "PBE",
  "state": "optimized geometry",
  "cell": [[4.949, 0.000, 0.000], [0.000, 4.949, 0.000], [0.000, 0.000, 4.788]],
  "species": ["Tb", "Tb", "Th", "Tl"],
  "fractional_positions": [[0.000, 0.500, 0.000], [0.500, 0.000, 0.000], [0.000, 0.000, 0.500], [0.500, 0.500, 0.500]],
  "magmom_total_mub_per_cell": 0.000
}

=====

Quick one: least stable of them? ii)

=====

i) {
  "formula": "Tb5ThTl6",
  "functional": "PBE",
  "state": "optimized geometry",
  "cell": [[4.942, -5.626, 0.000], [4.942, 5.626, 0.000], [-1.423, 0.000, 6.473]],
  "species": ["Tb", "Tb", "Tb", "Tb", "Tb", "Th", "Tl", "Tl", "Tl", "Tl", "Tl", "Tl"],
  "fractional_positions": [[0.000, 0.000, 0.000], [0.168, 0.832, 0.500], [0.337, 0.663, 0.000], [0.663, 0.337, 0.000], [0.832, 0.168, 0.500], [0.500, 0.500, 0.500], [0.075, 0.415, 0.243], [0.245, 0.245, 0.751], [0.415, 0.075, 0.243], [0.585, 0.925, 0.757], [0.755, 0.755, 0.249], [0.925, 0.585, 0.757]],
  "magmom_total_mub_per_cell": 0.000
}

=====

ii) {
  "formula": "Tb5ThTl6",
  "functional": "PBE",
  "state": "optimized geometry",
  "cell": [[-2.717, 3.781, 8.146], [2.717, -3.781, 8.146], [2.717, 3.781, -8.146]],
  "species": ["Tb", "Tb", "Tb", "Tb", "Tb", "Th", "Tl", "Tl", "Tl", "Tl", "Tl", "Tl"],
  "fractional_positions": [[0.000, 0.000, 0.000], [0.169, 0.669, 0.500], [0.340, 0.340, 0.000], [0.660, 0.660, 0.000], [0.831, 0.331, 0.500], [0.500, 0.000, 0.500], [0.073, 0.830, 0.243], [0.236, 0.500, 0.736], [0.413, 0.170, 0.243], [0.587, 0.830, 0.757], [0.764, 0.500, 0.264], [0.927, 0.170, 0.757]],
  "magmom_total_mub_per_cell": 0.000
}

=====

Quick one: least stable of them? i)

=====

i) {
  "formula": "Tb2ThTl4",
  "functional": "PBE",
  "state": "optimized geometry",
  "cell": [[-2.970, 2.970, 7.868], [2.970, -2.970, 7.868], [2.970, 2.970, -7.868]],
  "species": ["Tb", "Tb", "Th", "Tl", "Tl", "Tl", "Tl"],
  "fractional_positions": [[0.098, 0.098, 0.000], [0.902, 0.902, 0.000], [0.500, 0.500, 0.000], [0.000, 0.500, 0.500], [0.297, 0.297, 0.000], [0.500, 0.000, 0.500], [0.703, 0.703, 0.000]],
  "magmom_total_mub_per_cell": 0.000
}

=====

ii) {
  "formula": "Tb2ThTl4",
  "functional": "PBE",
  "state": "optimized geometry",
  "cell": [[5.223, 0.000, 0.000], [0.000, 5.223, 0.000], [0.000, 0.000, 7.847]],
  "species": ["Tb", "Tb", "Th", "Tl", "Tl", "Tl", "Tl"],
  "fractional_positions": [[0.000, 0.000, 0.000], [0.500, 0.500, 0.500], [0.000, 0.000, 0.500], [0.000, 0.500, 0.227], [0.000, 0.500, 0.773], [0.500, 0.000, 0.227], [0.500, 0.000, 0.773]],
  "magmom_total_mub_per_cell": 0.000
}

=====

Quick one: least stable of them? i)

=====

i) {
  "formula": "Tb4Tm6Th",
  "functional": "PBE",
  "state": "optimized geometry",
  "cell": [[-3.806, 3.806, 6.426], [3.806, -3.806, 6.426], [3.806, 3.806, -6.426]],
  "species": ["Tb", "Tb", "Tb", "Tb", "Tm", "Tm", "Tm", "Tm", "Tm", "Tm", "Th"],
  "fractional_positions": [[0.253, 0.253, 0.655], [0.402, 0.747, 0.000], [0.598, 0.598, 0.345], [0.747, 0.402, 0.000], [0.000, 0.500, 0.500], [0.066, 0.571, 0.000], [0.429, 0.429, 0.495], [0.500, 0.000, 0.500], [0.571, 0.066, 0.000], [0.934, 0.934, 0.505], [0.000, 0.000, 0.000]],
  "magmom_total_mub_per_cell": 0.000
}

=====

ii) {
  "formula": "Tb4Tm6Th",
  "functional": "PBE",
  "state": "optimized geometry",
  "cell": [[2.810, -4.831, 0.000], [2.810, 4.831, 0.000], [0.000, 0.000, 25.376]],
  "species": ["Tb", "Tb", "Tb", "Tb", "Tb", "Tb", "Tb", "Tb", "Tm", "Tm", "Tm", "Tm", "Tm", "Tm", "Tm", "Tm", "Tm", "Tm", "Tm", "Tm", "Th", "Th"],
  "fractional_positions": [[0.007, 0.993, 0.622], [0.007, 0.993, 0.878], [0.335, 0.665, 0.541], [0.335, 0.665, 0.959], [0.665, 0.335, 0.041], [0.665, 0.335, 0.459], [0.993, 0.007, 0.122], [0.993, 0.007, 0.378], [0.000, 0.000, 0.000], [0.000, 0.000, 0.500], [0.007, 0.993, 0.750], [0.328, 0.672, 0.102], [0.328, 0.672, 0.398], [0.340, 0.660, 0.683], [0.340, 0.660, 0.817], [0.660, 0.340, 0.183], [0.660, 0.340, 0.317], [0.672, 0.328, 0.602], [0.672, 0.328, 0.898], [0.993, 0.007, 0.250], [0.327, 0.673, 0.250], [0.673, 0.327, 0.750]],
  "magmom_total_mub_per_cell": 0.001
}

=====

Quick one: least stable of them? i)

=====

i) {
  "formula": "Tb7Tm3Th",
  "functional": "PBE",
  "state": "optimized geometry",
  "cell": [[7.047, 0.000, 0.000], [-3.523, 6.102, 0.000], [0.000, 0.000, 8.580]],
  "species": ["Tb", "Tb", "Tb", "Tb", "Tb", "Tb", "Tb", "Tm", "Tm", "Tm", "Th"],
  "fractional_positions": [[0.000, 0.000, 0.000], [0.165, 0.330, 0.337], [0.165, 0.835, 0.337], [0.503, 0.006, 0.005], [0.503, 0.497, 0.005], [0.670, 0.835, 0.337], [0.994, 0.497, 0.005], [0.336, 0.168, 0.668], [0.832, 0.168, 0.668], [0.832, 0.664, 0.668], [0.667, 0.333, 0.337]],
  "magmom_total_mub_per_cell": 0.000
}

=====

ii) {
  "formula": "Tb7Tm3Th",
  "functional": "PBE",
  "state": "optimized geometry",
  "cell": [[3.451, -9.225, 0.000], [3.451, 9.225, 0.000], [-0.150, 0.000, 11.162]],
  "species": ["Tb", "Tb", "Tb", "Tb", "Tb", "Tb", "Tb", "Tb", "Tb", "Tb", "Tb", "Tb", "Tb", "Tb", "Tm", "Tm", "Tm", "Tm", "Tm", "Tm", "Th", "Th"],
  "fractional_positions": [[0.087, 0.411, 0.470], [0.090, 0.413, 0.030], [0.164, 0.339, 0.750], [0.248, 0.248, 0.250], [0.339, 0.164, 0.750], [0.411, 0.087, 0.470], [0.413, 0.090, 0.030], [0.587, 0.910, 0.970], [0.589, 0.913, 0.530], [0.661, 0.836, 0.250], [0.752, 0.752, 0.750], [0.836, 0.661, 0.250], [0.910, 0.587, 0.970], [0.913, 0.589, 0.530], [0.000, 0.000, 0.000], [0.249, 0.750, 0.250], [0.250, 0.751, 0.750], [0.500, 0.500, 0.500], [0.750, 0.249, 0.250], [0.751, 0.250, 0.750], [0.000, 0.000, 0.500], [0.500, 0.500, 0.000]],
  "magmom_total_mub_per_cell": 0.001
}

=====

Quick one: least stable of them? i)

=====

i) {
  "formula": "Tb3TmTh2",
  "functional": "PBE",
  "state": "optimized geometry",
  "cell": [[3.487, -5.635, 0.000], [3.487, 5.635, 0.000], [-0.007, 0.000, 9.765]],
  "species": ["Tb", "Tb", "Tb", "Tb", "Tb", "Tb", "Tm", "Tm", "Th", "Th", "Th", "Th"],
  "fractional_positions": [[0.122, 0.380, 0.909], [0.124, 0.876, 0.750], [0.380, 0.122, 0.409], [0.620, 0.878, 0.591], [0.876, 0.124, 0.250], [0.878, 0.620, 0.091], [0.375, 0.625, 0.250], [0.625, 0.375, 0.750], [0.129, 0.373, 0.574], [0.373, 0.129, 0.074], [0.627, 0.871, 0.926], [0.871, 0.627, 0.426]],
  "magmom_total_mub_per_cell": 0.000
}

=====

ii) {
  "formula": "Tb3TmTh2",
  "functional": "PBE",
  "state": "optimized geometry",
  "cell": [[10.015, 0.000, 0.000], [0.000, 3.571, 0.000], [-0.035, 0.000, 10.649]],
  "species": ["Tb", "Tb", "Tb", "Tb", "Tb", "Tb", "Tm", "Tm", "Th", "Th", "Th", "Th"],
  "fractional_positions": [[0.124, 0.250, 0.251], [0.134, 0.250, 0.918], [0.369, 0.750, 0.417], [0.631, 0.250, 0.583], [0.866, 0.750, 0.082], [0.876, 0.750, 0.749], [0.375, 0.750, 0.750], [0.625, 0.250, 0.250], [0.123, 0.250, 0.583], [0.380, 0.750, 0.083], [0.620, 0.250, 0.917], [0.877, 0.750, 0.417]],
  "magmom_total_mub_per_cell": 0.000
}

=====

Quick one: least stable of them? i)

=====

i) {
  "formula": "Tb7Tm3Th2",
  "functional": "PBE",
  "state": "optimized geometry",
  "cell": [[5.762, 0.000, 0.000], [0.000, 3.559, 0.000], [-1.217, 0.000, 18.804]],
  "species": ["Tb", "Tb", "Tb", "Tb", "Tb", "Tb", "Tb", "Tm", "Tm", "Tm", "Th", "Th"],
  "fractional_positions": [[0.000, 0.000, 0.000], [0.182, 0.500, 0.178], [0.258, 0.500, 0.539], [0.320, 0.000, 0.858], [0.680, 0.000, 0.142], [0.742, 0.500, 0.461], [0.818, 0.500, 0.822], [0.224, 0.000, 0.371], [0.500, 0.500, 0.000], [0.776, 0.000, 0.629], [0.290, 0.500, 0.706], [0.710, 0.500, 0.294]],
  "magmom_total_mub_per_cell": 0.000
}

=====

ii) {
  "formula": "Tb7Tm3Th2",
  "functional": "PBE",
  "state": "optimized geometry",
  "cell": [[3.566, 0.000, 0.000], [0.000, 6.140, 0.000], [-1.780, -1.067, 17.259]],
  "species": ["Tb", "Tb", "Tb", "Tb", "Tb", "Tb", "Tb", "Tm", "Tm", "Tm", "Th", "Th"],
  "fractional_positions": [[0.000, 0.000, 0.000], [0.084, 0.364, 0.167], [0.249, 0.742, 0.498], [0.416, 0.139, 0.833], [0.584, 0.861, 0.167], [0.751, 0.258, 0.502], [0.916, 0.636, 0.833], [0.167, 0.054, 0.333], [0.500, 0.500, 0.000], [0.833, 0.946, 0.667], [0.334, 0.443, 0.668], [0.666, 0.557, 0.332]],
  "magmom_total_mub_per_cell": 0.000
}

=====

Quick one: least stable of them? i)

=====

i) {
  "formula": "Tb4Tm5Th",
  "functional": "PBE",
  "state": "optimized geometry",
  "cell": [[-5.069, 5.069, 3.150], [5.069, -5.069, 3.150], [5.069, 5.069, -3.150]],
  "species": ["Tb", "Tb", "Tb", "Tb", "Tm", "Tm", "Tm", "Tm", "Tm", "Th"],
  "fractional_positions": [[0.051, 0.653, 0.704], [0.347, 0.051, 0.398], [0.653, 0.949, 0.602], [0.949, 0.347, 0.296], [0.267, 0.356, 0.623], [0.356, 0.733, 0.090], [0.644, 0.267, 0.910], [0.733, 0.644, 0.377], [0.757, 0.757, 0.000], [0.225, 0.225, 0.000]],
  "magmom_total_mub_per_cell": 0.000
}

=====

ii) {
  "formula": "Tb4Tm5Th",
  "functional": "PBE",
  "state": "optimized geometry",
  "cell": [[8.486, -1.764, 0.000], [8.486, 1.764, 0.000], [-0.105, 0.000, 10.949]],
  "species": ["Tb", "Tb", "Tb", "Tb", "Tm", "Tm", "Tm", "Tm", "Tm", "Th"],
  "fractional_positions": [[0.027, 0.027, 0.249], [0.347, 0.347, 0.254], [0.653, 0.653, 0.746], [0.973, 0.973, 0.751], [0.172, 0.172, 0.450], [0.173, 0.173, 0.046], [0.500, 0.500, 0.000], [0.827, 0.827, 0.954], [0.828, 0.828, 0.550], [0.500, 0.500, 0.500]],
  "magmom_total_mub_per_cell": 0.000
}

=====

Quick one: least stable of them? i)

=====

i) {
  "formula": "Tb6Tm2Th",
  "functional": "PBE",
  "state": "optimized geometry",
  "cell": [[3.562, 0.000, 0.000], [-1.781, 3.085, 0.000], [0.000, 0.000, 26.249]],
  "species": ["Tb", "Tb", "Tb", "Tb", "Tb", "Tb", "Tm", "Tm", "Th"],
  "fractional_positions": [[0.000, 0.000, 0.066], [0.000, 0.000, 0.279], [0.000, 0.000, 0.721], [0.000, 0.000, 0.934], [0.333, 0.667, 0.389], [0.333, 0.667, 0.611], [0.333, 0.667, 0.171], [0.333, 0.667, 0.829], [0.000, 0.000, 0.500]],
  "magmom_total_mub_per_cell": 0.000
}

=====

ii) {
  "formula": "Tb6Tm2Th",
  "functional": "PBE",
  "state": "optimized geometry",
  "cell": [[3.681, 2.125, 6.451], [-3.681, 2.125, 6.451], [0.000, -4.250, 6.451]],
  "species": ["Tb", "Tb", "Tb", "Tb", "Tb", "Tb", "Tm", "Tm", "Th"],
  "fractional_positions": [[0.173, 0.173, 0.655], [0.173, 0.655, 0.173], [0.392, 0.392, 0.820], [0.392, 0.820, 0.392], [0.655, 0.173, 0.173], [0.820, 0.392, 0.392], [0.682, 0.682, 0.682], [0.856, 0.856, 0.856], [0.118, 0.118, 0.118]],
  "magmom_total_mub_per_cell": 0.000
}

=====

Quick one: least stable of them? ii)